Run P
NaBeTeIr: optimized geometry, PBE-GGA.

Results
* magnetization: 0.00 μB/f.u.

Lattice parameters (Å, degrees): 4.5487 4.5487 4.5487 60.00 60.00 60.00
With the nearest neighbours (Å) after each atom.
Fractional positions:
Na 0.0000 0.0000 0.0000  4 Te 2.79, 4 Ir 2.79
Be 0.5000 0.5000 0.5000  4 Te 2.79, 4 Ir 2.79
Te 0.2500 0.2500 0.2500  4 Na 2.79, 4 Be 2.79
Ir 0.7500 0.7500 0.7500  4 Na 2.79, 4 Be 2.79

***

Run Q
NaBeTeIr: optimized geometry, PBE-GGA.

Results
* magnetization: 0.00 μB/f.u.

Lattice parameters (Å, degrees): 4.5178 4.5178 4.5178 60.00 60.00 60.00
With the nearest neighbours (Å) after each atom.
Fractional positions:
Na 0.0000 0.0000 0.0000  4 Be 2.77, 4 Te 2.77
Be 0.7500 0.7500 0.7500  4 Na 2.77, 4 Ir 2.77
Te 0.2500 0.2500 0.2500  4 Ir 2.77, 4 Na 2.77
Ir 0.5000 0.5000 0.5000  4 Be 2.77, 4 Te 2.77

***

Run R
NaBeTeIr: optimized geometry, PBE-GGA.

Results
* magnetization: 0.01 μB/f.u.

Lattice parameters (Å, degrees): 4.5712 4.5712 4.5712 60.00 60.00 60.00
With the nearest neighbours (Å) after each atom.
Fractional positions:
Na 0.0000 0.0000 0.0000  4 Be 2.80, 4 Ir 2.80
Be 0.7500 0.7500 0.7500  4 Na 2.80, 4 Te 2.80
Te 0.5000 0.5000 0.5000  4 Be 2.80, 4 Ir 2.80
Ir 0.2500 0.2500 0.2500  4 Na 2.80, 4 Te 2.80

***

Relative stability in eV/atom, measured from the most stable structure: run P 0.311; run Q 0.000; run R 0.322

***

Run P
NpBeIr: optimized geometry, PBE-GGA.

Results
* magnetization: 3.82 μB/f.u.

Lattice parameters (Å, degrees): 4.1286 4.1286 4.1286 60.00 60.00 60.00
With the nearest neighbours (Å) after each atom.
Fractional positions:
Np 0.0000 0.0000 0.0000  4 Be 2.53
Be 0.7500 0.7500 0.7500  4 Ir 2.53, 4 Np 2.53
Ir 0.5000 0.5000 0.5000  4 Be 2.53

***

Run Q
NpBeIr: optimized geometry, PBE-GGA.

Results
* magnetization: 3.81 μB/f.u.

Lattice parameters (Å, degrees): 4.3771 4.3771 4.3771 60.00 60.00 60.00
With the nearest neighbours (Å) after each atom.
Fractional positions:
Np 0.0000 0.0000 0.0000  4 Be 2.68, 4 Ir 2.68
Be 0.7500 0.7500 0.7500  4 Np 2.68
Ir 0.2500 0.2500 0.2500  4 Np 2.68

***

Relative stability in eV/atom, measured from the most stable structure: run P 0.000; run Q 0.661